{"formula": "KCa2CoO4", "functional": "GGA+U", "state": "relaxed", "sg": "No. 121", "dos_ef_per_ev_cell": 0.00, "final_energy_ev_per_fu": -45.93, "magnetic_moment_mub_per_fu": 4.005, "lattice": [[5.780, -0.148, -0.213], [-2.912, 4.995, 0.213], [-2.912, -1.549, 4.753]], "species": ["Ca", "Ca", "O", "O", "O", "O", "K", "Co"], "frac_coords": [[0.500, 0.750, 0.250], [0.500, 0.250, 0.750], [0.000, 0.563, 0.176], [0.614, 0.437, 0.437], [0.000, 0.176, 0.563], [0.386, 0.824, 0.824], [0.000, 0.000, 0.000], [0.000, 0.500, 0.500]]}